Record 1
## AgBi2Cl8 (PBE-GGA)

Data for an optimized crystal structure of AgBi2Cl8.

```
11
Lattice="-4.159 -6.378 1.551 3.555 0.352 -6.238 6.768 -1.760 7.506" Properties=species:S:1:pos:R:3 pbc="T T T"
Cl -1.978 -5.215 1.623
Cl 0.965 -1.834 1.341
Ag 0.000 0.000 0.000
Cl 4.538 -2.146 -0.313
Cl 1.626 -5.641 3.132
Cl 4.155 -2.534 3.592
Bi 3.402 -0.651 1.705
Cl 2.009 -5.253 -0.773
Cl 8.143 -2.572 1.196
Bi 2.763 -7.136 1.114
Cl 5.200 -5.953 1.478
```

## Properties
**Distance to the lowest polymorph of the same formula**: 0.0 meV per atom
**Crystal system**: triclinic
**Fermi-level density of states**: 0.7 states/eV per cell

---

Record 2
## Ce2MgGa2Rh5 (PBE-GGA)

Data for an optimized crystal structure of Ce2MgGa2Rh5.

```
20
Lattice="3.649 0.000 0.000 0.000 9.835 0.000 0.000 0.000 9.835" Properties=species:S:1:pos:R:3 pbc="T T T"
Ga 0.000 6.117 8.635
Ce 0.000 1.734 3.184
Rh 1.824 0.000 4.918
Ce 0.000 3.184 8.101
Ce 0.000 8.101 6.651
Ce 0.000 6.651 1.734
Rh 1.824 4.918 0.000
Rh 1.824 5.648 6.957
Rh 1.824 2.878 5.648
Ga 0.000 1.200 6.117
Ga 0.000 3.718 1.200
Rh 1.824 0.730 7.795
Rh 1.824 6.957 4.187
Rh 1.824 2.040 0.730
Mg 0.000 0.000 0.000
Ga 0.000 8.635 3.718
Mg 0.000 4.918 4.918
Rh 1.824 9.105 2.040
Rh 1.824 7.795 9.105
Rh 1.824 4.187 2.878
```

## Properties
**Energy of formation from the pure elements**: -0.69 eV per atom
**Crystal system**: tetragonal
**Fermi-level density of states**: 15.2 states/eV per cell

---

Record 3
## Ta2BeAl (PBE-GGA)

Data for an optimized crystal structure of Ta2BeAl.

```
4
Lattice="4.062 0.000 0.000 0.000 3.836 0.000 0.000 0.000 3.953" Properties=species:S:1:pos:R:3 pbc="T T T"
Al 2.031 0.000 1.976
Be 0.000 1.918 1.976
Ta 2.031 1.918 0.000
Ta 0.000 0.000 0.000
```

## Properties
**Energy of formation from the pure elements**: -0.05 eV per atom
**Distance to the lowest polymorph of the same formula**: 123.8 meV per atom
**Crystal system**: orthorhombic
**Fermi-level density of states**: 1.6 states/eV per cell

---

Record 4
## Li2YMoAs (PBE-GGA)

Data for an optimized crystal structure of Li2YMoAs.

```
5
Lattice="-2.305 4.007 0.832 -4.009 -1.580 -3.498 -2.289 -2.053 3.551" Properties=species:S:1:pos:R:3 pbc="T T T"
As 0.000 0.000 0.000
Li -1.152 2.004 0.416
Mo -4.301 0.187 0.443
Li -1.144 -1.027 1.775
Y -2.005 -0.790 -1.749
```

## Properties
**Energy of formation from the pure elements**: 0.35 eV per atom
**Crystal system**: tetragonal
**Fermi-level density of states**: 1.3 states/eV per cell

---

Record 5
## TbSmDyLu (PBE-GGA)

Data for an optimized crystal structure of TbSmDyLu.

```
4
Lattice="-0.541 -4.088 -3.869 0.955 -5.388 1.427 -4.310 -3.646 0.323" Properties=species:S:1:pos:R:3 pbc="T T T"
Dy -1.948 -6.561 -1.059
Tb -2.923 -9.841 -1.589
Sm -0.974 -3.280 -0.530
Lu 0.000 0.000 0.000
```

## Properties
**Energy of formation from the pure elements**: 0.12 eV per atom
**Crystal system**: cubic
**Fermi-level density of states**: 7.5 states/eV per cell

---

Record 6
## Y4Cd5Ag2 (PBE-GGA)

Data for an optimized crystal structure of Y4Cd5Ag2.

```
11
Lattice="3.542 0.000 0.000 0.000 7.722 -0.333 0.000 -0.288 10.037" Properties=species:S:1:pos:R:3 pbc="T T T"
Y 1.771 1.043 8.724
Cd 0.000 1.431 1.524
Y 1.771 6.391 0.980
Y 1.771 5.561 5.337
Cd 0.000 6.003 8.180
Ag 0.000 0.295 6.367
Cd 0.000 3.220 6.860
Y 1.771 1.874 4.367
Cd 0.000 4.215 2.844
Ag 0.000 7.139 3.337
Cd 0.000 3.861 -0.166
```

## Properties
**Energy of formation from the pure elements**: -0.28 eV per atom
**Crystal system**: monoclinic
**Fermi-level density of states**: 8.2 states/eV per cell

---

Record 7
## NaAl2Sn2 (PBE-GGA)

Data for an optimized crystal structure of NaAl2Sn2.

```
10
Lattice="-6.980 4.027 -1.732 -4.382 -6.475 2.609 -0.037 1.354 3.298" Properties=species:S:1:pos:R:3 pbc="T T T"
Sn -8.775 -0.813 0.234
Al -7.642 1.800 1.102
Sn -5.223 1.640 -0.732
Sn -6.139 -4.088 1.609
Na 0.000 0.000 0.000
Al -3.758 -2.894 3.073
Sn -2.587 -1.635 0.642
Al -8.245 -2.354 2.800
Al -3.155 1.259 1.374
Na -5.681 -1.224 0.438
```

## Properties
**Energy of formation from the pure elements**: 0.08 eV per atom
**Distance to the lowest polymorph of the same formula**: 83.3 meV per atom
**Crystal system**: tetragonal
**Fermi-level density of states**: 5.0 states/eV per cell

---

Record 8
## PaTiMoW (PBE-GGA)

Data for an optimized crystal structure of PaTiMoW.

```
4
Lattice="4.674 0.000 0.000 2.337 4.048 0.000 2.337 1.349 3.816" Properties=species:S:1:pos:R:3 pbc="T T T"
Mo 4.674 2.698 1.908
Pa 7.011 4.048 2.862
W 0.000 0.000 0.000
Ti 2.337 1.349 0.954
```

## Properties
**Energy of formation from the pure elements**: 0.01 eV per atom
**Crystal system**: cubic
**Fermi-level density of states**: 5.2 states/eV per cell

---

| no. | theoretical density (Mg/m³) |
| --- | --- |
| 1 | 2.92 |
| 2 | 9.02 |
| 3 | 10.73 |
| 4 | 3.71 |
| 5 | 8.40 |
| 6 | 6.86 |
| 7 | 4.31 |
| 8 | 12.85 |